# 1
An optimized crystal structure of Ba3FeTc. Source: Alexandria, functional PBE.

abc: 5.6976 5.6976 5.6976
angles: 90.00 90.00 90.00
Fractional coordinates of all 5 atoms:
Ba  0.0000  0.0000  0.5000
Tc  0.5000  0.5000  0.5000
Ba  0.0000  0.5000  0.0000
Ba  0.5000  0.0000  0.0000
Fe  0.0000  0.0000  0.0000

## Properties
**ΔH_f (0 K)**: 1.192 eV per atom
**Energy above the lowest structure with this stoichiometry**: 0.0000 eV/atom
**Energy**: -18.635 eV/cell
**Volume**: 185.0 Å³/cell

=====

# 2
An optimized crystal structure of BaFeTc2. Source: Alexandria, functional PBE.

abc: 4.4133 3.7533 6.1072
angles: 75.93 90.00 90.00
Fractional coordinates of all 4 atoms:
Fe  0.5000  0.7500  0.7500
Ba  0.5000  0.2500  0.2500
Tc  0.0000  0.9608  0.8684
Tc  0.0000  0.5392  0.6316

## Properties
**ΔH_f (0 K)**: 0.832 eV per atom
**Energy above the lowest structure with this stoichiometry**: 0.3167 eV/atom
**Energy**: -27.789 eV/cell
**Volume**: 98.1 Å³/cell

=====

> Look up the energy of the second one.

-27.789 eV/cell

=====

> Which value of energy does entry 2 give?

-27.789 eV/cell

=====

> Which of these has the lowest volume?

BaFeTc2

=====

> Which of these has the highest energy?

Ba3FeTc